(1)
The following is a PBE calculation of a geometry-optimized PrEuDySiO6 structure, from Alexandria via LeMat-Bulk.

Results
DOS at the Fermi energy, states/eV per atom: 1.04
Calculated total energy, eV per atom: -8.503
Formation energy without anion corrections, eV per formula unit: -30.2

```
PrEuDySiO6
1.0
0.0000 3.9819 3.9819
3.9819 0.0000 3.9819
3.9819 3.9819 0.0000
O Pr Eu Si Dy
6 1 1 1 1
Direct
0.2742 0.7258 0.7258
0.7258 0.7258 0.2742
0.2742 0.7258 0.2742
0.7258 0.2742 0.7258
0.7258 0.2742 0.2742
0.2742 0.2742 0.7258
0.2500 0.2500 0.2500
0.7500 0.7500 0.7500
0.5000 0.5000 0.5000
0.0000 0.0000 0.0000
```

(2)
The following is a PBE calculation of a geometry-optimized Eu2DySbO6 structure, from Alexandria via LeMat-Bulk.

Results
DOS at the Fermi energy, states/eV per atom: 0.00
Calculated total energy, eV per atom: -8.481
Formation energy without anion corrections, eV per formula unit: -25.8

```
Eu2DySbO6
1.0
-0.4977 -5.8493 -0.8184
4.1494 -2.9286 -3.0558
3.6791 -3.7081 2.8011
Eu O Dy Sb
2 6 1 1
Direct
0.7500 0.7500 0.7500
0.2500 0.2500 0.2500
0.7375 0.2625 0.2625
0.2625 0.2625 0.7375
0.7375 0.2625 0.7375
0.2625 0.7375 0.7375
0.2625 0.7375 0.2625
0.7375 0.7375 0.2625
0.0000 0.0000 0.0000
0.5000 0.5000 0.5000
```

Number 1: spin magnetization 7.00 μB/cell. Number 2: spin magnetization 14.00 μB/cell.